# 1
An optimized crystal structure of PrSm2In3AgPd2, computed with PBE-GGA.

abc: 4.021 7.833 7.833
angles: 120.01 90.00 90.00
Sites, in units of the cell vectors:
Sm  0.500  0.000  0.413
Sm  0.500  0.413  0.000
In  0.000  0.002  0.739
In  0.000  0.260  0.260
In  0.000  0.739  0.002
Pr  0.500  0.587  0.587
Pd  0.000  0.668  0.331
Pd  0.000  0.331  0.668
Ag  0.500  0.001  0.001

Space-group type: Amm2

***

# 2
An optimized crystal structure of Tb2PrIn3AgPd2, computed with PBE-GGA.

abc: 3.867 7.879 7.879
angles: 120.16 90.00 90.00
Sites, in units of the cell vectors:
In  0.500  0.263  0.263
In  0.500  0.734  0.004
In  0.500  0.004  0.734
Tb  0.000  0.409  0.000
Tb  0.000  0.000  0.409
Ag  0.000  0.002  0.002
Pd  0.500  0.668  0.329
Pd  0.500  0.329  0.668
Pr  0.000  0.590  0.590

Space-group type: Amm2

***

# 3
An optimized crystal structure of Pr3Tl2InAgPd2, computed with PBE-GGA.

abc: 4.082 7.934 7.934
angles: 120.40 90.00 90.00
Sites, in units of the cell vectors:
Ag  0.000  0.008  0.008
Pd  0.500  0.658  0.332
Pd  0.500  0.332  0.658
In  0.500  0.260  0.260
Pr  0.000  0.587  0.587
Pr  0.000  0.414  0.001
Pr  0.000  0.001  0.414
Tl  0.500  0.739  0.001
Tl  0.500  0.001  0.739

Space-group type: Amm2

***

| no. | total DFT energy (no corrections) (eV per atom) |
| --- | --- |
| 1 | -4.63 |
| 2 | -4.61 |
| 3 | -4.47 |